Density functional theory data (PBE) for a geometry-optimized LaTbGaCu structure.

Calculated values
As for the total magnetization: 0.00 μB per cell.

Lattice parameters (Å, degrees): 5.1571 5.1571 5.1571 60.00 60.00 60.00
Fractional positions:
La: 0.0000 0.0000 0.0000
Cu: 0.2500 0.2500 0.2500
Ga: 0.7500 0.7500 0.7500
Tb: 0.5000 0.5000 0.5000

Density functional theory data (PBE) for a geometry-optimized Fe2ReAgP structure.

Calculated values
As for the total magnetization: 3.62 μB per cell.

Lattice parameters (Å, degrees): 4.4507 5.1189 4.4507 90.00 90.00 90.00
Last column: magnetic moment on the atom in μB.
Fractional positions:
Re: 0.0000 0.0000 0.0000  -0.25
Fe: 0.5000 0.0000 0.0000  1.79
Fe: 0.0000 0.0000 0.5000  2.13
P: 0.5000 0.5000 0.5000  -0.08
Ag: 0.0000 0.5000 0.0000  -0.01

| no. | density of states at the Fermi level (states/eV/cell) | E_tot (Ha/atom) |
| --- | --- | --- |
| 1 | 3.9 | -0.1664 |
| 2 | 7.6 | -0.2117 |